Entry 1:
The following is a PBE calculation of a relaxed structure of Tb4Y8Pu, from the Alexandria database.

## Properties
**E_tot**: -5.98 eV/atom
**Total moment**: 20.3 Bohr magnetons per cell
**Energy of formation**: 12.1 kcal/mol of atoms
**N(E_F)**: 21.031 states/eV/f.u.

```
data_Tb4Y8Pu
_cell_length_a 10.9825
_cell_length_b 10.9825
_cell_length_c 13.4147
_cell_angle_alpha 90.00
_cell_angle_beta 90.00
_cell_angle_gamma 120.00
_symmetry_space_group_name_H-M 'R -3 m'
_symmetry_Int_Tables_number 166
_symmetry_space_group_name_Hall '-R 3 2"'
loop_
_atom_site_label
_atom_site_type_symbol
_atom_site_fract_x
_atom_site_fract_y
_atom_site_fract_z
Tb1 Tb 0.0000 0.0000 0.0000
Tb2 Tb 0.0000 0.5000 0.0000
Y1 Y 0.0000 0.0000 0.2443
Y2 Y 0.0073 0.5036 0.7477
Pu1 Pu 0.0000 0.0000 0.5000
```


Entry 2:
The following is a PBE calculation of a relaxed structure of LuThMnCu, from the Alexandria database.

## Properties
**E_tot**: -6.28 eV/atom
**Total moment**: 7.5 Bohr magnetons per cell
**Energy of formation**: 0.4 kcal/mol of atoms
**N(E_F)**: 5.386 states/eV/f.u.

```
data_LuThMnCu
_cell_length_a 6.9548
_cell_length_b 6.9548
_cell_length_c 6.9548
_cell_angle_alpha 90.00
_cell_angle_beta 90.00
_cell_angle_gamma 90.00
_symmetry_space_group_name_H-M 'F -4 3 m'
_symmetry_Int_Tables_number 216
_symmetry_space_group_name_Hall 'F -4 2 3'
loop_
_atom_site_label
_atom_site_type_symbol
_atom_site_fract_x
_atom_site_fract_y
_atom_site_fract_z
Lu1 Lu 0.0000 0.0000 0.0000
Th1 Th 0.0000 0.0000 0.5000
Mn1 Mn 0.2500 0.2500 0.7500
Cu1 Cu 0.2500 0.2500 0.2500
```